A relaxed structure of Rb2DyPd3F12, computed with GGA-PBE.

ρ: 4.05 g/cm³
Crystal system: trigonal
Total DFT energy (no corrections): -4.6638 eV/atom
Total magnetic moment: 2.1 μB per cell
DOS at the Fermi energy: 0.292 states/eV/atom

Unit cell a=7.9504 b=7.9504 c=7.9504 alpha=60.71 beta=60.71 gamma=60.71
Last column: magnetic moment on the atom in μB.
Element x y z (fractional)
Dy1 0.0000 0.0000 0.0000  0.03
Pd1 0.5000 0.0000 0.0000  0.52
Pd2 0.0000 0.5000 0.0000  0.52
Pd3 0.0000 0.0000 0.5000  0.52
F1 0.6715 0.0782 0.0782  0.06
F2 0.3077 0.3077 0.9485  0.02
F3 0.0782 0.0782 0.6715  0.06
F4 0.3285 0.9218 0.9218  0.06
F5 0.0515 0.6923 0.6923  0.02
F6 0.9485 0.3077 0.3077  0.02
F7 0.3077 0.9485 0.3077  0.02
F8 0.6923 0.0515 0.6923  0.02
F9 0.0782 0.6715 0.0782  0.06
F10 0.9218 0.9218 0.3285  0.06
F11 0.6923 0.6923 0.0515  0.02
F12 0.9218 0.3285 0.9218  0.06
Rb1 0.6806 0.6806 0.6806  0.00
Rb2 0.3194 0.3194 0.3194  0.00



A relaxed structure of PmDy2F11, computed with GGA-PBE.

ρ: 4.56 g/cm³
Crystal system: orthorhombic
Total DFT energy (no corrections): -5.9158 eV/atom
Total magnetic moment: 4.2 μB per cell
DOS at the Fermi energy: 0.903 states/eV/atom

Unit cell a=8.4088 b=8.7641 c=8.7641 alpha=71.97 beta=61.33 gamma=61.33
Last column: magnetic moment on the atom in μB.
Element x y z (fractional)
Dy1 0.6578 0.6890 0.3110  -0.02
Dy2 0.8422 0.1890 0.8110  -0.02
Dy3 0.3422 0.3110 0.6890  -0.02
Dy4 0.1578 0.8110 0.1890  -0.02
F1 0.5779 0.2092 0.0542  0.13
F2 0.1587 0.0542 0.2092  0.13
F3 0.7546 0.4678 0.8138  0.13
F4 0.9638 0.8138 0.4678  0.13
F5 0.4221 0.7908 0.9458  0.13
F6 0.5000 0.5000 0.5000  0.42
F7 0.8905 0.8047 0.1953  0.24
F8 0.4638 0.9678 0.3138  0.13
F9 0.3413 0.2908 0.4458  0.13
F10 0.0000 0.0000 0.0000  0.42
F11 0.2454 0.5322 0.1862  0.13
F12 0.6095 0.3047 0.6953  0.24
F13 0.8413 0.9458 0.7908  0.13
F14 0.5362 0.0322 0.6862  0.13
F15 0.9221 0.4458 0.2908  0.13
F16 0.0362 0.1862 0.5322  0.13
F17 0.1095 0.1953 0.8047  0.24
F18 0.2546 0.3138 0.9678  0.13
F19 0.6587 0.7092 0.5542  0.13
F20 0.7454 0.6862 0.0322  0.13
F21 0.3905 0.6953 0.3047  0.24
F22 0.0779 0.5542 0.7092  0.13
Pm1 0.7500 0.7500 0.7500  -0.01
Pm2 0.2500 0.2500 0.2500  -0.01



A relaxed structure of Pm2DyF8, computed with GGA-PBE.

ρ: 6.69 g/cm³
Offset from the most stable computed form: 0.00 eV/f.u.
Crystal system: monoclinic
Total magnetic moment: 1.0 μB per cell
DOS at the Fermi energy: 0.126 states/eV/atom

Unit cell a=3.7682 b=5.6537 c=7.7752 alpha=110.42 beta=104.02 gamma=90.00
Last column: magnetic moment on the atom in μB.
Element x y z (fractional)
F1 0.7746 0.6719 0.5492  0.01
F2 0.2254 0.3281 0.4508  0.01
F3 0.5904 0.4359 0.1808  0.01
F4 0.9598 0.2055 0.9197  0.02
F5 0.3272 0.0398 0.6545  0.00
F6 0.6728 0.9602 0.3455  0.00
F7 0.4096 0.5641 0.8192  0.01
F8 0.0402 0.7945 0.0803  0.02
Pm1 0.8264 0.3244 0.6529  0.06
Pm2 0.1736 0.6756 0.3471  0.06
Dy1 0.5000 0.0000 0.0000  0.47